Record 1
DFT (GGA-PBEsol) results for a relaxed La2ZnHg crystal.

magnetization	0.002	μB per formula unit
symmetry	Fm-3m
crystal system	cubic
density of states at the Fermi level	4.98	states/eV/f.u.
energy relative to the elements	-0.40	eV/atom

Geometry as POSCAR:
```
La2ZnHg
1.0
5.333 0.000 0.000
2.666 4.618 0.000
2.666 1.539 4.354
Hg Zn La
1 1 2
Direct
0.500 0.500 0.500
0.000 0.000 0.000
0.750 0.750 0.750
0.250 0.250 0.250
```


Record 2
DFT (GGA-PBEsol) results for a relaxed K3NaAu crystal.

magnetization	0.000	μB per formula unit
symmetry	Pm-3m
crystal system	cubic
density of states at the Fermi level	3.81	states/eV/f.u.
energy relative to the elements	-0.02	eV/atom

Geometry as POSCAR:
```
K3NaAu
1.0
-3.368 4.840 2.395
-5.389 -3.189 -1.135
0.337 -2.629 5.786
K Na Au
3 1 1
Direct
0.000 0.500 0.000
0.000 0.000 0.500
0.500 0.000 0.000
0.500 0.500 0.500
0.000 0.000 0.000
```


Record 3
DFT (GGA-PBEsol) results for a relaxed CaMg2Pb crystal.

magnetization	0.000	μB per formula unit
symmetry	I-4m2
crystal system	tetragonal
density of states at the Fermi level	1.87	states/eV/f.u.
energy relative to the elements	-0.21	eV/atom

Geometry as POSCAR:
```
CaMg2Pb
1.0
-4.789 -0.842 -0.241
0.399 -0.900 -4.768
2.896 -3.360 3.362
Pb Mg Ca
1 2 1
Direct
0.500 0.500 0.000
0.000 0.000 0.000
0.750 0.250 0.500
0.250 0.750 0.500
```